No. 1
Here is crystalline Pm4Se2SN at its relaxed geometry from the Alexandria database. Energies are from GGA-PBE.

POSCAR file:
```
Pm4Se2SN
1.0
-3.3533 -1.6109 -1.2941
2.4032 0.2005 -6.4769
1.8709 -6.2292 2.9062
Se Pm N S
2 4 1 1
Cartesian
2.1371 -3.0144 -1.7854
-0.7412 -3.9200 0.8061
-0.6431 -2.0856 -1.7316
2.1664 -4.8826 0.4642
2.1077 -1.1461 -4.0349
1.5640 -5.5540 -3.1332
-0.4750 -0.7052 -3.8855
0.0000 0.0000 0.0000
```

Properties
E_tot ... -0.2416 hartree per atom
Space group ... P2/m
Magnetization ... 0.00 μB per cell



No. 2
Here is crystalline Pm6Se3S2N at its relaxed geometry from the Alexandria database. Energies are from GGA-PBE.

POSCAR file:
```
Pm6Se3S2N
1.0
6.9574 0.0024 0.0008
-3.4749 6.0275 0.0008
-1.1609 -2.0100 6.7455
Pm Se S N
6 3 2 1
Cartesian
-0.0865 -0.1498 5.2777
0.1782 4.0185 5.3057
2.1434 0.0013 1.4413
-1.0700 1.8572 1.4413
3.3917 2.1626 5.3057
2.4081 4.1696 1.4693
-2.2588 3.9849 3.3735
4.5805 0.0349 3.3735
1.1608 2.0099 3.3735
3.4746 2.0139 0.0008
0.0079 4.0160 0.0008
0.0000 0.0000 0.0000
```

Properties
E_tot ... -0.2374 hartree per atom
Space group ... C2/m
Magnetization ... 0.00 μB per cell



No. 3
Here is crystalline Pm6SeS2N3 at its relaxed geometry from the Alexandria database. Energies are from GGA-PBE.

POSCAR file:
```
Pm6SeS2N3
1.0
3.7736 0.0000 0.0000
0.0000 7.8677 0.0421
-1.8868 -2.5206 8.1525
S N Pm Se
2 3 6 1
Cartesian
0.0000 1.7750 2.7274
1.8868 3.5721 5.4672
1.8868 3.9339 0.0210
0.0000 5.6970 2.7590
1.8868 -0.3499 5.4356
1.8868 -0.2858 8.0028
0.0000 1.3983 5.5804
1.8868 3.9488 2.6142
0.0000 5.6329 0.1918
1.8868 -0.4034 2.9020
0.0000 5.7505 5.2926
1.8868 0.0000 0.0000
```

Properties
E_tot ... -0.2627 hartree per atom
Space group ... C2/m
Magnetization ... 0.00 μB per cell



No. 4
Here is crystalline Pm6Se3SN2 at its relaxed geometry from the Alexandria database. Energies are from GGA-PBE.

POSCAR file:
```
Pm6Se3SN2
1.0
-4.0886 -4.4664 3.0086
6.0616 1.3581 2.6701
-3.3851 6.0024 1.7751
Pm N Se S
6 2 3 1
Cartesian
-2.9979 1.3764 5.7411
0.7132 -0.9865 4.4120
0.6094 3.4464 5.6208
-2.0215 -0.5523 1.8330
1.5858 1.5176 1.7127
-2.1253 3.8806 3.0418
2.6849 -0.5796 2.7827
-0.7119 -2.5288 2.8960
2.7408 3.4249 3.6120
-4.1529 -0.5309 3.8419
-0.7061 1.4470 3.7269
0.0000 0.0000 0.0000
```

Properties
E_tot ... -0.2464 hartree per atom
Space group ... C2/m
Magnetization ... 0.00 μB per cell



No. 5
Here is crystalline Pm4SeS2N at its relaxed geometry from the Alexandria database. Energies are from GGA-PBE.

POSCAR file:
```
Pm4SeS2N
1.0
-4.1341 -2.8609 5.2776
0.6172 -5.9915 2.2690
1.5251 0.0459 6.2529
Pm S N Se
4 2 1 1
Cartesian
-0.5345 -4.3361 9.1582
0.6581 -5.5101 5.7348
-2.9855 -5.5279 6.5922
-1.1218 -2.2389 6.1138
-1.4936 -6.6050 10.3498
-0.4982 -2.2015 3.4497
-0.9959 -4.4032 6.8998
0.0000 0.0000 0.0000
```

Properties
E_tot ... -0.2327 hartree per atom
Space group ... I-42m
Magnetization ... 0.00 μB per cell



No. 6
Here is crystalline Pm8Se3S4N at its relaxed geometry from the Alexandria database. Energies are from GGA-PBE.

POSCAR file:
```
Pm8Se3S4N
1.0
8.1550 0.0000 0.0000
0.0000 8.0827 -0.0568
-4.0775 -4.0732 5.7690
Pm S Se N
8 4 3 1
Cartesian
0.0000 -0.1197 2.7972
2.2617 -1.9096 5.6980
0.0000 4.1054 2.5863
4.0775 -0.0959 3.1259
-2.2617 -1.9096 5.6980
4.0775 4.1292 2.9150
6.3392 5.9190 0.0141
1.8158 5.9190 0.0141
4.0775 0.0000 0.0000
0.0000 0.0000 0.0000
2.0388 -2.0366 2.8845
-2.0388 -2.0366 2.8845
2.0388 2.0047 2.8561
4.0775 4.0413 -0.0284
-2.0388 2.0047 2.8561
0.0000 4.0413 -0.0284
```

Properties
E_tot ... -0.2365 hartree per atom
Space group ... R-3m
Magnetization ... 0.00 μB per cell



No. 7
Here is crystalline PmSmSN at its relaxed geometry from the Alexandria database. Energies are from GGA-PBE.

POSCAR file:
```
PmSmSN
1.0
-2.4734 -2.4878 1.2890
1.1196 -3.4464 0.9149
0.7090 0.0069 6.7921
Pm S N Sm
1 1 1 1
Cartesian
-0.2067 -1.5597 2.0113
-0.3200 -2.9596 4.5104
0.7060 0.0018 6.7763
-0.4374 -4.3664 6.9880
```

Properties
E_tot ... -0.2664 hartree per atom
Space group ... R3m
Magnetization ... 0.00 μB per cell



No. 8
Here is crystalline Pm3TeSN at its relaxed geometry from the Alexandria database. Energies are from GGA-PBE.

POSCAR file:
```
Pm3TeSN
1.0
4.0742 0.0000 0.0000
0.0000 8.7404 0.2775
0.0000 -2.0357 9.1553
Pm Te S N
6 2 2 2
Cartesian
3.0557 3.4905 1.4040
1.0186 6.3037 4.6973
1.0186 -0.6603 7.7575
3.0557 0.4010 4.7355
3.0557 7.3650 1.6753
1.0186 3.2142 8.0287
3.0557 5.5793 7.4397
1.0186 1.1254 1.9931
1.0186 5.4015 1.6934
3.0557 1.3032 7.7394
1.0186 -0.4340 5.5318
3.0557 7.1387 3.9010
```

Properties
E_tot ... -0.2397 hartree per atom
Space group ... P2_1/m
Magnetization ... 0.00 μB per cell